A plane-wave DFT calculation with GGA-PBEsol was carried out for a relaxed structure of AgBAsS2.

Lattice parameters (Å, degrees): 3.968 4.873 4.873 90.00 90.00 90.00
Fractional positions:
As 0.500 0.500 0.500
B 0.500 0.000 0.000
S 0.000 0.000 0.500
S 0.000 0.500 0.000
Ag 0.000 0.000 0.000

Computed properties:
The volume comes out at 94.2 Å³ per cell. As for the density of states at the Fermi level: 0.6007 states/eV/atom. The calculation puts the total energy at -18.16 eV per formula unit.